No. 1
Computed, not measured: crystalline Tb12Nd2Ho at its relaxed geometry at the PBE-GGA level of DFT.

```
Tb12Nd2Ho
1.0
3.558 -5.636 0.000
3.558 5.636 0.000
-1.774 0.000 24.482
Tb Nd Ho
24 4 2
Direct
0.050 0.550 0.200
0.082 0.583 0.330
0.137 0.640 0.555
0.144 0.144 0.571
0.216 0.216 0.865
0.232 0.732 0.927
0.268 0.768 0.073
0.284 0.284 0.135
0.359 0.359 0.427
0.360 0.863 0.445
0.417 0.918 0.670
0.450 0.950 0.800
0.550 0.050 0.200
0.583 0.082 0.330
0.640 0.137 0.555
0.641 0.641 0.573
0.716 0.716 0.865
0.732 0.232 0.927
0.768 0.268 0.073
0.784 0.784 0.135
0.856 0.856 0.429
0.863 0.360 0.445
0.918 0.417 0.670
0.950 0.450 0.800
0.069 0.069 0.272
0.433 0.433 0.728
0.567 0.567 0.272
0.931 0.931 0.728
0.250 0.250 0.000
0.750 0.750 0.000
```

## Properties
energy	-0.1666	hartree per atom
SG	No. 12

---

No. 2
Computed, not measured: crystalline Tb6Nd2Ho3 at its relaxed geometry at the PBE-GGA level of DFT.

```
Tb6Nd2Ho3
1.0
3.063 -5.312 0.000
3.063 5.312 0.000
-2.070 0.000 11.541
Tb Nd Ho
6 2 3
Direct
0.084 0.418 0.753
0.249 0.249 0.247
0.418 0.084 0.753
0.582 0.916 0.247
0.751 0.751 0.753
0.916 0.582 0.247
0.333 0.667 0.500
0.667 0.333 0.500
0.165 0.835 0.000
0.500 0.500 0.000
0.835 0.165 0.000
```

## Properties
energy	-0.1640	hartree per atom
SG	No. 12
excess energy over the best structure of this formula in the dataset	0.000	eV per atom

---

No. 3
Computed, not measured: crystalline Tb3Nd7Ho at its relaxed geometry at the PBE-GGA level of DFT.

```
Tb3Nd7Ho
1.0
6.433 -5.693 0.000
6.433 5.693 0.000
-2.732 0.000 5.263
Tb Nd Ho
3 7 1
Direct
0.000 0.000 0.000
0.205 0.795 0.500
0.795 0.205 0.500
0.016 0.597 0.807
0.210 0.210 0.708
0.403 0.984 0.193
0.500 0.500 0.500
0.597 0.016 0.807
0.790 0.790 0.292
0.984 0.403 0.193
0.500 0.500 0.000
```

## Properties
energy	-0.1648	hartree per atom
SG	No. 12
excess energy over the best structure of this formula in the dataset	0.046	eV per atom

---

No. 4
Computed, not measured: crystalline Tb3NdHo3 at its relaxed geometry at the PBE-GGA level of DFT.

```
Tb3NdHo3
1.0
7.599 -7.486 0.000
7.599 7.486 0.000
-0.108 0.000 8.270
Tb Nd Ho
12 4 12
Direct
0.000 0.000 0.000
0.014 0.793 0.678
0.057 0.296 0.163
0.074 0.505 0.500
0.267 0.267 0.463
0.267 0.764 0.957
0.296 0.057 0.163
0.505 0.074 0.500
0.531 0.763 0.227
0.763 0.531 0.227
0.764 0.267 0.957
0.793 0.014 0.678
0.336 0.336 0.871
0.491 0.491 0.539
0.552 0.791 0.659
0.791 0.552 0.659
0.023 0.546 0.941
0.025 0.255 0.744
0.045 0.045 0.422
0.255 0.025 0.744
0.275 0.799 0.436
0.290 0.523 0.212
0.523 0.290 0.212
0.546 0.023 0.941
0.751 0.991 0.262
0.779 0.779 0.959
0.799 0.275 0.436
0.991 0.751 0.262
```

## Properties
energy	-0.1633	hartree per atom
SG	No. 8
excess energy over the best structure of this formula in the dataset	0.172	eV per atom

---

No. 5
Computed, not measured: crystalline Tb4Nd6Ho at its relaxed geometry at the PBE-GGA level of DFT.

```
Tb4Nd6Ho
1.0
-3.303 3.303 8.776
3.303 -3.303 8.776
3.303 3.303 -8.776
Tb Nd Ho
4 6 1
Direct
0.139 0.139 0.628
0.489 0.861 0.000
0.511 0.511 0.372
0.861 0.489 0.000
0.000 0.500 0.500
0.044 0.686 0.000
0.314 0.314 0.358
0.500 0.000 0.500
0.686 0.044 0.000
0.956 0.956 0.642
0.500 0.500 0.000
```

## Properties
energy	-0.1623	hartree per atom
SG	No. 121
excess energy over the best structure of this formula in the dataset	0.000	eV per atom

---

No. 6
Computed, not measured: crystalline TbNdHo5 at its relaxed geometry at the PBE-GGA level of DFT.

```
TbNdHo5
1.0
5.832 -3.386 0.000
5.832 3.386 0.000
-4.129 0.000 11.413
Tb Nd Ho
2 2 10
Direct
0.000 0.500 0.000
0.500 0.000 0.500
0.028 0.972 0.750
0.972 0.028 0.250
0.144 0.417 0.751
0.194 0.649 0.500
0.351 0.806 0.000
0.411 0.589 0.250
0.417 0.144 0.251
0.583 0.856 0.749
0.589 0.411 0.750
0.649 0.194 0.000
0.806 0.351 0.500
0.856 0.583 0.249
```

## Properties
energy	-0.1623	hartree per atom
SG	No. 15
excess energy over the best structure of this formula in the dataset	0.000	eV per atom

---

No. 7
Computed, not measured: crystalline Tb4NdHo5 at its relaxed geometry at the PBE-GGA level of DFT.

```
Tb4NdHo5
1.0
6.186 0.000 0.000
0.000 3.575 0.000
-0.008 0.000 14.361
Tb Nd Ho
4 1 5
Direct
0.167 0.000 0.296
0.333 0.500 0.703
0.667 0.500 0.297
0.833 0.000 0.704
0.000 0.500 0.500
0.167 0.000 0.902
0.334 0.500 0.098
0.500 0.000 0.500
0.666 0.500 0.902
0.833 0.000 0.098
```

## Properties
energy	-0.1694	hartree per atom
SG	No. 10
excess energy over the best structure of this formula in the dataset	0.000	eV per atom

---

No. 8
Computed, not measured: crystalline Tb4Nd2Ho5 at its relaxed geometry at the PBE-GGA level of DFT.

```
Tb4Nd2Ho5
1.0
-1.749 4.530 11.597
1.749 -4.530 11.597
1.749 4.530 -11.597
Tb Nd Ho
4 2 5
Direct
0.097 0.097 0.000
0.193 0.500 0.693
0.807 0.500 0.307
0.903 0.903 0.000
0.232 0.232 0.000
0.768 0.768 0.000
0.164 0.358 0.806
0.447 0.642 0.806
0.500 0.000 0.500
0.553 0.358 0.194
0.836 0.642 0.194
```

## Properties
energy	-0.1622	hartree per atom
SG	No. 71
excess energy over the best structure of this formula in the dataset	0.068	eV per atom

---

No. 9
Computed, not measured: crystalline Tb3Nd2Ho9 at its relaxed geometry at the PBE-GGA level of DFT.

```
Tb3Nd2Ho9
1.0
6.204 0.000 0.000
1.853 8.533 0.000
0.516 1.601 8.590
Tb Nd Ho
3 2 9
Direct
0.000 0.000 0.000
0.257 0.273 0.382
0.743 0.727 0.618
0.457 0.705 0.971
0.543 0.295 0.029
0.000 0.500 0.000
0.090 0.693 0.316
0.185 0.896 0.619
0.347 0.492 0.666
0.490 0.916 0.253
0.510 0.084 0.747
0.653 0.508 0.334
0.815 0.104 0.381
0.910 0.307 0.684
```

## Properties
energy	-0.1653	hartree per atom
SG	No. 2

---

| no. | DOS(E_F) (states/eV per atom) | ΔH_f (0 K) (eV/atom) | magnetization (μB per atom) |
| --- | --- | --- | --- |
| 1 | 1.4952 | 0.112 | 0.000 |
| 2 | 1.6193 | 0.179 | 0.000 |
| 3 | 1.3833 | 0.228 | 0.000 |
| 4 | 1.5799 | 0.185 | 0.000 |
| 5 | 1.5773 | 0.284 | 0.000 |
| 6 | 1.2188 | 0.195 | 0.000 |
| 7 | 1.4013 | 0.009 | 0.000 |
| 8 | 1.5006 | 0.219 | 0.001 |
| 9 | 1.4614 | 0.118 | 0.000 |